NaAlSn | GGA-PBE | relaxed

Results
DOS(E_F) = 0.34 states/eV per atom
calculated total energy = -3.0739 eV per atom
energy relative to the elements = -1.21 kcal/mol of atoms

Structure (CIF):
```
data_NaAlSn
_chemical_formula_sum 'Na4 Al4 Sn4'
_space_group_name_H-M_alt 'P -1'
_space_group_IT_number 2
_cell_length_a 5.380
_cell_length_b 7.341
_cell_length_c 8.079
_cell_angle_alpha 70.57
_cell_angle_beta 89.95
_cell_angle_gamma 89.90
loop_
_space_group_symop_operation_xyz
'x,y,z'
'-x,-y,-z'
loop_
_atom_site_label
_atom_site_fract_x
_atom_site_fract_y
_atom_site_fract_z
Na1 0.249 0.252 0.267
Na2 0.250 0.716 0.400
Al1 0.000 0.000 0.000
Al2 0.251 0.667 0.007
Al3 0.500 0.000 0.000
Sn1 0.250 0.404 0.807
Sn2 0.251 0.993 0.685
```

***

Li2ScGa | GGA-PBE | relaxed

Results
DOS(E_F) = 0.30 states/eV per atom
calculated total energy = -3.5761 eV per atom
energy relative to the elements = -6.45 kcal/mol of atoms

Structure (CIF):
```
data_Li2ScGa
_chemical_formula_sum 'Li8 Sc4 Ga4'
_space_group_name_H-M_alt 'F -4 3 m'
_space_group_IT_number 216
_space_group_name_Hall 'F -4 2 3'
_cell_length_a 6.533
_cell_length_b 6.533
_cell_length_c 6.533
_cell_angle_alpha 90.00
_cell_angle_beta 90.00
_cell_angle_gamma 90.00
loop_
_atom_site_label
_atom_site_fract_x
_atom_site_fract_y
_atom_site_fract_z
Li1 0.000 0.000 0.000
Li2 0.250 0.250 0.250
Sc1 0.250 0.250 0.750
Ga1 0.000 0.000 0.500
```

***

Sr2FeAs | GGA-PBE | relaxed

Results
DOS(E_F) = 1.43 states/eV per atom
calculated total energy = -4.1595 eV per atom
energy relative to the elements = -0.93 kcal/mol of atoms

Structure (CIF):
```
data_Sr2FeAs
_chemical_formula_sum 'Sr2 Fe1 As1'
_space_group_name_H-M_alt 'P 4/m m m'
_space_group_IT_number 123
_space_group_name_Hall '-P 4 2'
_cell_length_a 3.847
_cell_length_b 3.847
_cell_length_c 7.609
_cell_angle_alpha 90.00
_cell_angle_beta 90.00
_cell_angle_gamma 90.00
loop_
_atom_site_label
_atom_site_fract_x
_atom_site_fract_y
_atom_site_fract_z
Sr1 0.000 0.000 0.233
Fe1 0.500 0.500 0.500
As1 0.500 0.500 0.000
```

***

Sm3Y8Sc | GGA-PBE | relaxed

Results
DOS(E_F) = 1.71 states/eV per atom
calculated total energy = -5.4086 eV per atom
energy relative to the elements = 14.03 kcal/mol of atoms

Structure (CIF):
```
data_Sm3Y8Sc
_chemical_formula_sum 'Sm6 Y16 Sc2'
_space_group_name_H-M_alt 'I -4 2 m'
_space_group_IT_number 121
_space_group_name_Hall 'I -4 2'
_cell_length_a 8.707
_cell_length_b 8.707
_cell_length_c 11.387
_cell_angle_alpha 90.00
_cell_angle_beta 90.00
_cell_angle_gamma 90.00
loop_
_atom_site_label
_atom_site_fract_x
_atom_site_fract_y
_atom_site_fract_z
Sm1 0.000 0.000 0.000
Sm2 0.000 0.500 0.250
Y1 0.127 0.127 0.739
Y2 0.234 0.234 0.475
Sc1 0.000 0.000 0.500
```

***

Cu2NiW | GGA-PBE | relaxed

Results
DOS(E_F) = 1.01 states/eV per atom
calculated total energy = -6.4629 eV per atom
energy relative to the elements = 6.20 kcal/mol of atoms

Structure (CIF):
```
data_Cu2NiW
_chemical_formula_sum 'Cu4 Ni2 W2'
_space_group_name_H-M_alt 'I m m m'
_space_group_IT_number 71
_space_group_name_Hall '-I 2 2'
_cell_length_a 2.624
_cell_length_b 4.408
_cell_length_c 8.914
_cell_angle_alpha 90.00
_cell_angle_beta 90.00
_cell_angle_gamma 90.00
loop_
_atom_site_label
_atom_site_fract_x
_atom_site_fract_y
_atom_site_fract_z
Cu1 0.000 0.000 0.237
Ni1 0.000 0.500 0.500
W1 0.000 0.500 0.000
```

***

CoBC2Cl | GGA-PBE | relaxed

Results
DOS(E_F) = 0.55 states/eV per atom
formation energy (no corrections) = 1.745 eV per atom
calculated total energy = -5.0705 eV per atom

Structure (CIF):
```
data_CoBC2Cl
_chemical_formula_sum 'Co1 B1 C2 Cl1'
_space_group_name_H-M_alt 'P 4/m m m'
_space_group_IT_number 123
_space_group_name_Hall '-P 4 2'
_cell_length_a 3.686
_cell_length_b 3.686
_cell_length_c 4.146
_cell_angle_alpha 90.00
_cell_angle_beta 90.00
_cell_angle_gamma 90.00
loop_
_atom_site_label
_atom_site_fract_x
_atom_site_fract_y
_atom_site_fract_z
Co1 0.000 0.000 0.000
B1 0.000 0.000 0.500
C1 0.000 0.500 0.000
Cl1 0.500 0.500 0.500
```

***

ZnHgTe2 | GGA-PBE | relaxed

Results
DOS(E_F) = 0.00 states/eV per atom
formation energy (no corrections) = -0.168 eV per atom
calculated total energy = -2.1323 eV per atom

Structure (CIF):
```
data_ZnHgTe2
_chemical_formula_sum 'Zn1 Hg1 Te2'
_space_group_name_H-M_alt 'P 3 m 1'
_space_group_IT_number 156
_cell_length_a 4.5295
_cell_length_b 4.5295
_cell_length_c 7.2349
_cell_angle_alpha 90.00
_cell_angle_beta 90.00
_cell_angle_gamma 120.00
loop_
_space_group_symop_operation_xyz
'x,y,z'
'-y,x-y,z'
'-x+y,-x,z'
'-y,-x,z'
'-x+y,y,z'
'x,x-y,z'
loop_
_atom_site_label
_atom_site_fract_x
_atom_site_fract_y
_atom_site_fract_z
Zn1 0.0000 0.0000 0.0000
Hg1 0.6667 0.3333 0.5106
Te1 0.0000 0.0000 0.3800
Te2 0.3333 0.6667 0.8898
```

***

Ba2SI | GGA-PBE | relaxed

Results
DOS(E_F) = 0.57 states/eV per atom
formation energy (no corrections) = -1.705 eV per atom
calculated total energy = -4.0857 eV per atom

Structure (CIF):
```
data_Ba2SI
_chemical_formula_sum 'Ba6 S3 I3'
_space_group_name_H-M_alt 'R 3 m'
_space_group_IT_number 160
_space_group_name_Hall 'R 3 -2"'
_cell_length_a 4.5990
_cell_length_b 4.5990
_cell_length_c 25.3654
_cell_angle_alpha 90.00
_cell_angle_beta 90.00
_cell_angle_gamma 120.00
loop_
_atom_site_label
_atom_site_fract_x
_atom_site_fract_y
_atom_site_fract_z
Ba1 0.0000 0.0000 0.0000
Ba2 0.0000 0.0000 0.1995
S1 0.0000 0.0000 0.6016
I1 0.0000 0.0000 0.4320
```